[1]
First-principles (SCAN) data for a crystal of Y2MgCu relaxed with PBEsol, as listed in the Alexandria database.

Cell and atoms, written as POSCAR:
```
Y2MgCu
1.0
3.6522 0.0000 0.0000
0.0000 5.0009 0.0000
0.0000 0.0000 5.0009
Mg Y Cu
1 2 1
direct
0.5000 0.5000 0.5000
0.0000 0.0000 0.5000
0.0000 0.5000 0.0000
0.5000 0.0000 0.0000
```

The calculation puts the density of states at the Fermi level at 2.37 states/eV per cell. For the total magnetic moment, the calculation gives 0.000 μB per atom. The space-group type is No. 123. The formation energy is -0.11 eV/atom.

=====

[2]
First-principles (SCAN) data for a crystal of Y2Mg4Cu relaxed with PBEsol, as listed in the Alexandria database.

Cell and atoms, written as POSCAR:
```
Y2Mg4Cu
1.0
-0.6195 1.0743 6.0776
3.2105 -5.1254 -1.3777
3.1171 4.8004 -2.3906
Y Mg Cu
2 4 1
direct
0.7500 0.2500 0.5000
0.2500 0.7500 0.5000
0.7115 0.2885 0.0000
0.7115 0.7115 0.4229
0.2885 0.7115 0.0000
0.2885 0.2885 0.5771
0.0000 0.0000 0.0000
```

The calculation puts the density of states at the Fermi level at 5.90 states/eV per cell. For the total magnetic moment, the calculation gives 0.000 μB per atom. The space-group type is No. 139. The formation energy is 0.38 eV/atom.

=====

[3]
First-principles (SCAN) data for a crystal of Y2Mg2Cu relaxed with PBEsol, as listed in the Alexandria database.

Cell and atoms, written as POSCAR:
```
Y2Mg2Cu
1.0
-2.5722 -4.2041 -0.1029
0.8264 -0.3551 -6.1484
7.3709 -1.6887 2.8246
Y Cu Mg
4 2 4
direct
0.0840 0.0069 0.1681
0.9156 0.4169 0.8312
0.3243 0.9998 0.6485
0.6901 0.6961 0.3801
0.8891 0.8716 0.7782
0.1031 0.5372 0.2062
0.4796 0.7431 0.9592
0.7106 0.1976 0.4212
0.5269 0.2893 0.0538
0.2767 0.4734 0.5535
```

Its energy above the most stable polymorph in this dataset is 0.006 eV per atom. The calculation puts the density of states at the Fermi level at 8.87 states/eV per cell. For the total magnetic moment, the calculation gives 0.000 μB per atom. The space-group type is No. 8. The formation energy is -0.13 eV/atom.

=====

[4]
First-principles (SCAN) data for a crystal of Y2MgCu2 relaxed with PBEsol, as listed in the Alexandria database.

Cell and atoms, written as POSCAR:
```
Y2MgCu2
1.0
-3.4271 0.6335 0.9213
-0.9977 -7.3773 1.3612
2.1246 1.0391 7.1888
Mg Y Cu
2 4 4
direct
0.0000 0.0000 0.0000
0.0000 0.5000 0.5000
0.5000 0.1700 0.6700
0.5000 0.8300 0.3300
0.5000 0.6700 0.8300
0.5000 0.3300 0.1700
0.0000 0.1219 0.3781
0.0000 0.8781 0.6219
0.0000 0.3781 0.8781
0.0000 0.6219 0.1219
```

Its energy above the most stable polymorph in this dataset is 0.000 eV per atom. The calculation puts the density of states at the Fermi level at 9.17 states/eV per cell. For the total magnetic moment, the calculation gives 0.006 μB per atom. The space-group type is No. 127. The formation energy is -0.30 eV/atom.

=====

[5]
First-principles (SCAN) data for a crystal of Y2MgCu2 relaxed with PBEsol, as listed in the Alexandria database.

Cell and atoms, written as POSCAR:
```
Y2MgCu2
1.0
-3.6610 -2.1170 2.1949
0.3435 -4.7290 0.4698
1.2348 -1.5756 5.2517
Cu Mg Y
2 1 2
direct
0.6093 0.6093 0.2657
0.3907 0.3907 0.7343
0.0000 0.0000 0.0000
0.2464 0.2464 0.3024
0.7536 0.7536 0.6976
```

Its energy above the most stable polymorph in this dataset is 0.097 eV per atom. The calculation puts the density of states at the Fermi level at 3.70 states/eV per cell. For the total magnetic moment, the calculation gives 0.000 μB per atom. The space-group type is No. 12. The formation energy is -0.20 eV/atom.

=====

[6]
First-principles (SCAN) data for a crystal of YMg2Cu9 relaxed with PBEsol, as listed in the Alexandria database.

Cell and atoms, written as POSCAR:
```
YMg2Cu9
1.0
-2.9658 2.7919 -2.7933
-4.5620 -1.5556 -1.0775
-5.2576 3.9806 5.1944
Mg Cu Y
2 9 1
direct
0.1447 0.1447 0.5660
0.8553 0.8553 0.4340
0.4142 0.9180 0.2535
0.0820 0.5858 0.7465
0.5858 0.0820 0.7465
0.5000 0.5000 0.5000
0.6668 0.6668 0.9995
0.3332 0.3332 0.0005
0.5858 0.5858 0.7465
0.9180 0.4142 0.2535
0.4142 0.4142 0.2535
0.0000 0.0000 0.0000
```

The calculation puts the density of states at the Fermi level at 4.82 states/eV per cell. For the total magnetic moment, the calculation gives 0.000 μB per atom. The space-group type is No. 166. The formation energy is -0.21 eV/atom.

=====

[7]
First-principles (SCAN) data for a crystal of Y2MgCu2 relaxed with PBEsol, as listed in the Alexandria database.

Cell and atoms, written as POSCAR:
```
Y2MgCu2
1.0
5.3958 -0.0001 0.0000
-2.6980 4.9517 -0.0244
0.0000 -2.1452 7.7175
Cu Y Mg
4 4 2
direct
0.0149 0.7177 0.9996
0.9851 0.2823 0.0004
0.2972 0.2823 0.5004
0.7028 0.7177 0.4996
0.4810 0.2944 0.1470
0.8133 0.2944 0.6470
0.1867 0.7056 0.3530
0.5190 0.7056 0.8530
0.8391 0.0000 0.2500
0.1609 0.0000 0.7500
```

Its energy above the most stable polymorph in this dataset is 0.049 eV per atom. The calculation puts the density of states at the Fermi level at 6.96 states/eV per cell. For the total magnetic moment, the calculation gives 0.000 μB per atom. The space-group type is No. 15. The formation energy is -0.25 eV/atom.

=====

[8]
First-principles (SCAN) data for a crystal of Y2MgCu3 relaxed with PBEsol, as listed in the Alexandria database.

Cell and atoms, written as POSCAR:
```
Y2MgCu3
1.0
4.6828 0.0000 0.0000
-2.3414 4.0554 0.0000
0.0000 0.0000 11.8333
Cu Y Mg
6 4 2
direct
0.0000 0.0000 0.0000
0.3333 0.6667 0.8492
0.6667 0.3333 0.3492
0.3333 0.6667 0.6508
0.0000 0.0000 0.5000
0.6667 0.3333 0.1508
0.6667 0.3333 0.9075
0.6667 0.3333 0.5925
0.3333 0.6667 0.4075
0.3333 0.6667 0.0925
0.0000 0.0000 0.2500
0.0000 0.0000 0.7500
```

The calculation puts the density of states at the Fermi level at 6.67 states/eV per cell. For the total magnetic moment, the calculation gives 0.000 μB per atom. The space-group type is No. 194. The formation energy is -0.22 eV/atom.